Compound: Er2ReNi
Source: Alexandria via LeMat-Bulk
Functional: PBE-GGA
Structure: optimized geometry

Results
Total DFT energy (no corrections)   -6.1669 eV/atom
Formation energy from the elements   2.688 eV per formula unit
Density   12.117 g/cm³
Symmetry   R-3m

Lattice parameters (Å, degrees): 9.982 9.982 9.982 17.61 17.61 17.61
Fractional positions:
1 Er 0.094 0.094 0.094
2 Er 0.906 0.906 0.906
3 Re 0.000 0.000 0.000
4 Ni 0.500 0.500 0.500



Compound: Pm2CoAg
Source: Alexandria via LeMat-Bulk
Functional: PBE-GGA
Structure: optimized geometry

Results
Total DFT energy (no corrections)   -4.9317 eV/atom
Formation energy from the elements   -0.269 eV per formula unit
Density   7.401 g/cm³
Symmetry   R3m

Lattice parameters (Å, degrees): 7.855 7.855 7.855 29.27 29.27 29.27
Fractional positions:
1 Pm 0.000 0.000 0.000
2 Pm 0.199 0.199 0.199
3 Co 0.600 0.600 0.600
4 Ag 0.765 0.765 0.765



Compound: KBeAg2
Source: Alexandria via LeMat-Bulk
Functional: PBE-GGA
Structure: optimized geometry

Results
Total DFT energy (no corrections)   -2.4083 eV/atom
Formation energy from the elements   0.893 eV per formula unit
Density   4.299 g/cm³
Symmetry   R-3m

Lattice parameters (Å, degrees): 6.609 6.609 6.609 38.81 38.81 38.81
Fractional positions:
1 K 0.000 0.000 0.000
2 Be 0.500 0.500 0.500
3 Ag 0.190 0.190 0.190
4 Ag 0.810 0.810 0.810



Compound: Mg2CrNi
Source: Alexandria via LeMat-Bulk
Functional: PBE-GGA
Structure: optimized geometry

Results
Total DFT energy (no corrections)   -4.4280 eV/atom
Formation energy from the elements   0.882 eV per formula unit
Density   4.102 g/cm³
Symmetry   P4/mmm

Lattice parameters (Å, degrees): 4.049 4.049 3.934 90.00 90.00 90.00
Fractional positions:
1 Mg 0.000 0.500 0.000
2 Mg 0.500 0.000 0.000
3 Cr 0.000 0.000 0.500
4 Ni 0.500 0.500 0.500



Compound: Nd2Cd2Ni15
Source: Alexandria via LeMat-Bulk
Functional: PBE-GGA
Structure: optimized geometry

Results
Total DFT energy (no corrections)   -5.2863 eV/atom
Formation energy from the elements   -2.354 eV per formula unit
Density   8.840 g/cm³
Symmetry   R-3m

Lattice parameters (Å, degrees): 6.441 6.441 6.441 83.07 83.07 83.07
Fractional positions:
1 Nd 0.149 0.149 0.149
2 Nd 0.851 0.851 0.851
3 Cd 0.395 0.395 0.395
4 Cd 0.605 0.605 0.605
5 Ni 0.000 0.500 0.500
6 Ni 0.154 0.154 0.660
7 Ni 0.154 0.660 0.154
8 Ni 0.197 0.500 0.803
9 Ni 0.197 0.803 0.500
10 Ni 0.340 0.846 0.846
11 Ni 0.500 0.000 0.500
12 Ni 0.500 0.197 0.803
13 Ni 0.500 0.500 0.000
14 Ni 0.500 0.803 0.197
15 Ni 0.660 0.154 0.154
16 Ni 0.803 0.197 0.500
17 Ni 0.803 0.500 0.197
18 Ni 0.846 0.340 0.846
19 Ni 0.846 0.846 0.340



Compound: LiAcSmGd
Source: Alexandria via LeMat-Bulk
Functional: PBE-GGA
Structure: optimized geometry

Results
Total DFT energy (no corrections)   -5.9717 eV/atom
Formation energy from the elements   0.936 eV per formula unit
Density   6.692 g/cm³
Symmetry   F-43m

Lattice parameters (Å, degrees): 5.749 5.749 5.749 60.00 60.00 60.00
Fractional positions:
1 Li 0.000 0.000 0.000
2 Ac 0.500 0.500 0.500
3 Sm 0.750 0.750 0.750
4 Gd 0.250 0.250 0.250



Compound: BaUN3
Source: Alexandria via LeMat-Bulk
Functional: PBE-GGA
Structure: optimized geometry

Results
Total DFT energy (no corrections)   -8.6386 eV/atom
Density   8.429 g/cm³
ΔE_f (raw)   -1.0012 eV per atom
Symmetry   Pm-3m

Lattice parameters (Å, degrees): 4.348 4.348 4.348 90.00 90.00 90.00
Fractional positions:
1 Ba 0.000 0.000 0.000
2 U 0.500 0.500 0.500
3 N 0.000 0.500 0.500
4 N 0.500 0.000 0.500
5 N 0.500 0.500 0.000



Compound: La8TcRh2
Source: Alexandria via LeMat-Bulk
Functional: PBE-GGA
Structure: optimized geometry

Results
Total DFT energy (no corrections)   -6.1189 eV/atom
Formation energy from the elements   -2.819 eV per formula unit
Density   7.075 g/cm³
Symmetry   Cm

Lattice parameters (Å, degrees): 7.929 7.929 6.360 101.28 101.28 116.53
Fractional positions:
1 La 0.000 0.000 0.000
2 La 0.011 0.261 0.583
3 La 0.148 0.557 0.177
4 La 0.261 0.011 0.583
5 La 0.452 0.700 0.769
6 La 0.557 0.148 0.177
7 La 0.700 0.452 0.769
8 La 0.710 0.710 0.351
9 Tc 0.366 0.366 0.187
10 Rh 0.066 0.651 0.678
11 Rh 0.651 0.066 0.678



Compound: CoP2
Source: Alexandria via LeMat-Bulk
Functional: PBE-GGA
Structure: optimized geometry

Results
Total DFT energy (no corrections)   -5.8379 eV/atom
Formation energy from the elements   0.412 eV per formula unit
Density   5.345 g/cm³
Symmetry   P6/mmm

Lattice parameters (Å, degrees): 4.122 4.122 2.553 90.00 90.00 120.00
Fractional positions:
1 Co 0.000 0.000 0.000
2 P 0.333 0.667 0.000
3 P 0.667 0.333 0.000



Compound: K2BaMn
Source: Alexandria via LeMat-Bulk
Functional: PBE-GGA
Structure: optimized geometry

Results
Total DFT energy (no corrections)   -2.7346 eV/atom
Formation energy from the elements   2.349 eV per formula unit
Density   2.317 g/cm³
Symmetry   P4/mmm

Lattice parameters (Å, degrees): 5.346 5.346 6.782 90.00 90.00 90.00
Fractional positions:
1 K 0.000 0.500 0.000
2 K 0.500 0.000 0.000
3 Ba 0.000 0.000 0.500
4 Mn 0.500 0.500 0.500



Compound: PmDy3Sc4
Source: Alexandria via LeMat-Bulk
Functional: PBE-GGA
Structure: optimized geometry

Results
Total DFT energy (no corrections)   -5.4487 eV/atom
Formation energy from the elements   0.293 eV per formula unit
Density   5.931 g/cm³
Symmetry   Pmn2_1

Lattice parameters (Å, degrees): 10.832 6.984 6.013 90.00 90.00 90.00
Fractional positions:
1 Pm 0.000 0.134 0.000
2 Pm 0.500 0.866 0.500
3 Dy 0.000 0.865 0.499
4 Dy 0.250 0.135 0.344
5 Dy 0.250 0.865 0.844
6 Dy 0.500 0.135 0.999
7 Dy 0.750 0.135 0.344
8 Dy 0.750 0.865 0.844
9 Sc 0.000 0.385 0.508
10 Sc 0.000 0.615 0.009
11 Sc 0.248 0.616 0.336
12 Sc 0.252 0.384 0.836
13 Sc 0.500 0.385 0.509
14 Sc 0.500 0.615 0.008
15 Sc 0.748 0.384 0.836
16 Sc 0.752 0.616 0.336



Compound: Co2AsAu
Source: Alexandria via LeMat-Bulk
Functional: PBE-GGA
Structure: optimized geometry

Results
Total DFT energy (no corrections)   -5.3720 eV/atom
Formation energy from the elements   0.651 eV per formula unit
Density   11.517 g/cm³
Symmetry   P2/m

Lattice parameters (Å, degrees): 2.876 3.688 5.467 90.00 104.29 90.00
Fractional positions:
1 Co 0.134 0.000 0.283
2 Co 0.866 0.000 0.717
3 As 0.500 0.500 0.500
4 Au 0.500 0.500 0.000



Compound: Tc2HRu
Source: Alexandria via LeMat-Bulk
Functional: PBE-GGA
Structure: optimized geometry

Results
Total DFT energy (no corrections)   -8.3723 eV/atom
Density   11.044 g/cm³
Symmetry   R3m

Lattice parameters (Å, degrees): 6.870 6.870 6.870 23.38 23.38 23.38
Fractional positions:
1 Tc 0.000 0.000 0.000
2 Tc 0.214 0.214 0.214
3 H 0.607 0.607 0.607
4 Ru 0.775 0.775 0.775



Compound: SrAl2InAu4
Source: Alexandria via LeMat-Bulk
Functional: PBE-GGA
Structure: optimized geometry

Results
Total DFT energy (no corrections)   -3.5687 eV/atom
Formation energy from the elements   -3.535 eV per formula unit
Density   9.891 g/cm³
Symmetry   R-3m

Lattice parameters (Å, degrees): 10.846 10.846 10.846 23.30 23.30 23.30
Fractional positions:
1 Sr 0.000 0.000 0.000
2 Al 0.246 0.246 0.246
3 Al 0.754 0.754 0.754
4 In 0.500 0.500 0.500
5 Au 0.118 0.118 0.118
6 Au 0.400 0.400 0.400
7 Au 0.600 0.600 0.600
8 Au 0.882 0.882 0.882



Compound: AsCl7
Source: Alexandria via LeMat-Bulk
Functional: PBE-GGA
Structure: optimized geometry

Results
Total DFT energy (no corrections)   -1.5010 eV/atom
Density   3.244 g/cm³
ΔE_f (raw)   0.6960 eV per atom
Symmetry   Fm-3m

Lattice parameters (Å, degrees): 6.161 6.161 6.161 60.00 60.00 60.00
Fractional positions:
1 As 0.000 0.000 0.000
2 Cl 0.000 0.000 0.500
3 Cl 0.000 0.500 0.000
4 Cl 0.000 0.500 0.500
5 Cl 0.500 0.000 0.000
6 Cl 0.500 0.000 0.500
7 Cl 0.500 0.500 0.000
8 Cl 0.500 0.500 0.500



Compound: Eu2HoCd
Source: Alexandria via LeMat-Bulk
Functional: PBE-GGA
Structure: optimized geometry

Results
Total DFT energy (no corrections)   -6.4955 eV/atom
Formation energy from the elements   0.060 eV per formula unit
Density   7.465 g/cm³
Symmetry   Fm-3m

Lattice parameters (Å, degrees): 5.676 5.676 5.676 60.00 60.00 60.00
Fractional positions:
1 Eu 0.250 0.250 0.250
2 Eu 0.750 0.750 0.750
3 Ho 0.000 0.000 0.000
4 Cd 0.500 0.500 0.500



Compound: TaPOs
Source: Alexandria via LeMat-Bulk
Functional: PBE-GGA
Structure: optimized geometry

Results
Total DFT energy (no corrections)   -9.8162 eV/atom
Formation energy from the elements   -0.956 eV per formula unit
Density   15.347 g/cm³
Symmetry   I4mm

Lattice parameters (Å, degrees): 5.527 5.527 5.527 149.45 149.45 43.75
Fractional positions:
1 Ta 0.000 0.000 0.000
2 P 0.328 0.328 0.000
3 Os 0.701 0.701 0.000



Compound: ErPaMnTc
Source: Alexandria via LeMat-Bulk
Functional: PBE-GGA
Structure: optimized geometry

Results
Total DFT energy (no corrections)   -8.3984 eV/atom
Formation energy from the elements   0.001 eV per formula unit
Density   11.682 g/cm³
Symmetry   F-43m

Lattice parameters (Å, degrees): 4.803 4.803 4.803 60.00 60.00 60.00
Fractional positions:
1 Er 0.000 0.000 0.000
2 Pa 0.500 0.500 0.500
3 Mn 0.750 0.750 0.750
4 Tc 0.250 0.250 0.250



Compound: CrReHg2
Source: Alexandria via LeMat-Bulk
Functional: PBE-GGA
Structure: optimized geometry

Results
Total DFT energy (no corrections)   -4.9787 eV/atom
Formation energy from the elements   2.760 eV per formula unit
Density   14.648 g/cm³
Symmetry   Cm

Lattice parameters (Å, degrees): 5.698 5.698 4.843 114.50 114.50 30.70
Fractional positions:
1 Cr 0.000 0.000 0.000
2 Re 0.324 0.324 0.824
3 Hg 0.549 0.549 0.549
4 Hg 0.764 0.764 0.265



Compound: RbHgIN2
Source: Alexandria via LeMat-Bulk
Functional: PBE-GGA
Structure: optimized geometry

Results
Total DFT energy (no corrections)   -2.2589 eV/atom
Density   2.965 g/cm³
ΔE_f (raw)   1.6352 eV per atom
Symmetry   P4/mmm

Lattice parameters (Å, degrees): 5.928 5.928 7.028 90.00 90.00 90.00
Fractional positions:
1 Rb 0.000 0.000 0.000
2 Hg 0.500 0.500 0.500
3 I 0.000 0.000 0.500
4 N 0.000 0.500 0.000
5 N 0.500 0.000 0.000